No. 1
Below is a relaxed structure of Cd6Pd2Pt, with properties calculated at the GGA-PBE level.

Calculated values
electronic total energy	-2.65	eV per atom

abc: 4.5895 6.3995 7.8942
angles: 113.91 106.91 90.00
Last column: nearest neighbours and their distance in Å.
Positions (direct):
Pd (0.6677, 0.6675, 0.3350)  8 Cd 2.79-2.80
Cd (0.8338, 0.5817, 0.6678)  1 Pt 2.79, 3 Pd 2.79
Cd (0.1662, 0.4183, 0.3322)  1 Pt 2.79, 3 Pd 2.79
Pd (0.3323, 0.3325, 0.6650)  8 Cd 2.79-2.80
Pt (0.0000, 0.0000, 0.0000)  8 Cd 2.79-2.80
Cd (0.1662, 0.9138, 0.3322)  1 Pt 2.79, 3 Pd 2.79
Cd (0.5000, 0.2497, 0.0000)  2 Pd 2.80, 2 Pt 2.80
Cd (0.8338, 0.0862, 0.6678)  1 Pt 2.79, 3 Pd 2.79
Cd (0.5000, 0.7503, 0.0000)  2 Pd 2.80, 2 Pt 2.80



No. 2
Below is a relaxed structure of AlZn2Cd, with properties calculated at the GGA-PBE level.

Calculated values
energy above the lowest structure with this stoichiometry	38	meV per atom
electronic total energy	-1.70	eV per atom

abc: 5.0323 5.0323 2.9347
angles: 89.99 89.99 108.90
Last column: nearest neighbours and their distance in Å.
Positions (direct):
Cd (0.0000, 0.5000, 0.5000)  8 Zn 2.91, 2 Al 2.93, 2 Cd 2.93
Zn (0.5000, 0.5000, 0.0000)  4 Al 2.91, 4 Cd 2.91, 4 Zn 2.93
Zn (0.0000, 0.0000, 0.0000)  4 Cd 2.91, 4 Al 2.91, 4 Zn 2.93
Al (0.5000, 0.0000, 0.5000)  8 Zn 2.91, 2 Cd 2.93, 2 Al 2.93